Entry 1:
The following is a DFT calculation (PBE-GGA) of PmPPtO after structural relaxation.

Properties
- Raw total energy: -6.266 eV per atom
- Total moment: 0.00 Bohr magnetons per cell
- Energy above the lowest structure with this stoichiometry: 0.878 eV/atom

a b c (Å): 5.9380 5.9380 4.4804
angles (deg): 90.00 90.00 90.00
Positions (direct):
1 O 0.0000 0.0000 0.0000
2 O 0.5000 0.5000 0.0000
3 P 0.5000 0.0000 0.4797
4 P 0.0000 0.5000 0.5203
5 Pm 0.0000 0.0000 0.5000
6 Pm 0.5000 0.5000 0.5000
7 Pt 0.0000 0.5000 0.0211
8 Pt 0.5000 0.0000 0.9789

---

Entry 2:
The following is a DFT calculation (PBE-GGA) of PmPPtO after structural relaxation.

Properties
- Raw total energy: -6.812 eV per atom
- Total moment: 0.00 Bohr magnetons per cell
- Energy above the lowest structure with this stoichiometry: 0.332 eV/atom

a b c (Å): 4.7085 4.1089 7.0131
angles (deg): 90.00 90.00 90.00
Positions (direct):
1 O 0.0000 0.7531 0.4372
2 O 0.0000 0.2469 0.9372
3 P 0.5000 0.2535 0.2758
4 P 0.5000 0.7465 0.7758
5 Pm 0.0000 0.7473 0.1014
6 Pm 0.0000 0.2527 0.6014
7 Pt 0.5000 0.7541 0.4396
8 Pt 0.5000 0.2459 0.9396

---

Entry 3:
The following is a DFT calculation (PBE-GGA) of RbPmPO after structural relaxation.

Properties
- Raw total energy: -5.373 eV per atom
- Total moment: 2.00 Bohr magnetons per cell
- Energy above the lowest structure with this stoichiometry: 0.000 eV/atom

a b c (Å): 4.9327 8.0365 6.7601
angles (deg): 90.00 90.00 90.00
Site moments in Bohr magnetons follow the coordinates.
Positions (direct):
1 O 0.0000 0.9116 0.3412  0.03
2 O 0.0000 0.0884 0.8412  0.02
3 P 0.5000 0.2964 0.4402  0.36
4 P 0.5000 0.7036 0.9402  0.36
5 Pm 0.0000 0.8652 0.0220  0.01
6 Pm 0.0000 0.1348 0.5220  0.01
7 Rb 0.5000 0.7139 0.4506  0.02
8 Rb 0.5000 0.2861 0.9506  0.02